No. 1
Density functional theory data (PBEsol) for crystalline Li7V4P9O32 at its relaxed geometry. Values from VASP.

Calculated values
Uncorrected formation energy, eV per atom: -2.26
Total magnetic moment, μB/f.u.: 8.00
N(E_F), states/eV/cell: 55.0

Geometry as Quantum ESPRESSO input:
```
&SYSTEM
  ibrav = 0, nat = 104, ntyp = 4
/
ATOMIC_SPECIES
Li 6.94 Li.upf
V 50.94 V.upf
P 30.97 P.upf
O 16.00 O.upf
CELL_PARAMETERS angstrom
13.6270 0.0000 0.0000
0.0000 13.6270 0.0000
0.0000 0.0000 6.3186
ATOMIC_POSITIONS crystal
Li 0.0000 0.0000 0.0000
Li 0.0000 0.5000 0.1380
Li 0.0000 0.5000 0.6380
Li 0.1064 0.2530 0.8167
Li 0.2470 0.3936 0.3167
Li 0.2530 0.8936 0.1833
Li 0.3936 0.7530 0.6833
Li 0.5000 0.0000 0.3620
Li 0.5000 0.0000 0.8620
Li 0.5000 0.5000 0.5000
Li 0.6064 0.2470 0.6833
Li 0.7470 0.1064 0.1833
Li 0.7530 0.6064 0.3167
Li 0.8936 0.7470 0.8167
V 0.1209 0.8031 0.6245
V 0.1969 0.1209 0.3755
V 0.3031 0.6209 0.1245
V 0.3791 0.3031 0.8755
V 0.6209 0.6969 0.8755
V 0.6969 0.3791 0.1245
V 0.8031 0.8791 0.3755
V 0.8791 0.1969 0.6245
P 0.0000 0.0000 0.5000
P 0.0622 0.3075 0.3860
P 0.1072 0.7521 0.1358
P 0.1925 0.4378 0.8860
P 0.2479 0.1072 0.8642
P 0.2521 0.6072 0.6358
P 0.3075 0.9378 0.6140
P 0.3928 0.2521 0.3642
P 0.4378 0.8075 0.1140
P 0.5000 0.5000 0.0000
P 0.5622 0.1925 0.1140
P 0.6072 0.7479 0.3642
P 0.6925 0.0622 0.6140
P 0.7479 0.3928 0.6358
P 0.7521 0.8928 0.8642
P 0.8075 0.5622 0.8860
P 0.8928 0.2479 0.1358
P 0.9378 0.6925 0.3860
O 0.0070 0.2720 0.1702
O 0.0150 0.2553 0.5756
O 0.0583 0.4181 0.3913
O 0.0617 0.9348 0.6508
O 0.0652 0.0617 0.3492
O 0.0819 0.4417 0.8913
O 0.1098 0.8124 0.9346
O 0.1398 0.8191 0.3176
O 0.1554 0.6622 0.6273
O 0.1622 0.6554 0.1273
O 0.1672 0.2692 0.3514
O 0.1809 0.1398 0.6824
O 0.1876 0.1098 0.0654
O 0.2280 0.4930 0.6702
O 0.2308 0.3328 0.8514
O 0.2447 0.4850 0.0756
O 0.2553 0.9850 0.4244
O 0.2692 0.8328 0.6486
O 0.2720 0.9930 0.8298
O 0.3124 0.6098 0.4346
O 0.3191 0.6398 0.8176
O 0.3328 0.7692 0.1486
O 0.3378 0.1554 0.3727
O 0.3446 0.1622 0.8727
O 0.3602 0.3191 0.1824
O 0.3902 0.3124 0.5654
O 0.4181 0.9417 0.6087
O 0.4348 0.5617 0.1508
O 0.4383 0.4348 0.8492
O 0.4417 0.9181 0.1087
O 0.4850 0.7553 0.9244
O 0.4930 0.7720 0.3298
O 0.5070 0.2280 0.3298
O 0.5150 0.2447 0.9244
O 0.5583 0.0819 0.1087
O 0.5617 0.5652 0.8492
O 0.5652 0.4383 0.1508
O 0.5819 0.0583 0.6087
O 0.6098 0.6876 0.5654
O 0.6398 0.6809 0.1824
O 0.6554 0.8378 0.8727
O 0.6622 0.8446 0.3727
O 0.6672 0.2308 0.1486
O 0.6809 0.3602 0.8176
O 0.6876 0.3902 0.4346
O 0.7280 0.0070 0.8298
O 0.7308 0.1672 0.6486
O 0.7447 0.0150 0.4244
O 0.7553 0.5150 0.0756
O 0.7692 0.6672 0.8514
O 0.7720 0.5070 0.6702
O 0.8124 0.8902 0.0654
O 0.8191 0.8602 0.6824
O 0.8328 0.7308 0.3514
O 0.8378 0.3446 0.1273
O 0.8446 0.3378 0.6273
O 0.8602 0.1809 0.3176
O 0.8902 0.1876 0.9346
O 0.9181 0.5583 0.8913
O 0.9348 0.9383 0.3492
O 0.9383 0.0652 0.6508
O 0.9417 0.5819 0.3913
O 0.9850 0.7447 0.5756
O 0.9930 0.7280 0.1702
```

=====

No. 2
Density functional theory data (PBEsol) for crystalline Li4VP6O18 at its relaxed geometry. Values from VASP.

Calculated values
Uncorrected formation energy, eV per atom: -2.17
Total magnetic moment, μB/f.u.: 3.00

Geometry as Quantum ESPRESSO input:
```
&SYSTEM
  ibrav = 0, nat = 29, ntyp = 4
/
ATOMIC_SPECIES
Li 6.94 Li.upf
V 50.94 V.upf
P 30.97 P.upf
O 16.00 O.upf
CELL_PARAMETERS angstrom
7.2791 0.0000 0.0000
-2.8652 6.8258 0.0000
-1.3763 -2.9404 6.7984
ATOMIC_POSITIONS crystal
Li 0.0000 0.0000 0.0000
Li 0.1076 0.4447 0.4245
Li 0.2192 0.9047 0.7193
Li 0.8500 0.5616 0.7005
V 0.6992 0.0946 0.4146
P 0.1455 0.3279 0.7904
P 0.2829 0.7547 0.0604
P 0.4509 0.3340 0.3119
P 0.4938 0.6781 0.7827
P 0.7055 0.2842 0.0755
P 0.8124 0.6977 0.3514
O 0.1061 0.1225 0.8079
O 0.1274 0.7948 0.9371
O 0.1820 0.4998 0.0015
O 0.2218 0.2636 0.2754
O 0.3550 0.7022 0.6279
O 0.3724 0.8711 0.2790
O 0.3742 0.4330 0.7667
O 0.4766 0.2224 0.1054
O 0.4884 0.8051 0.9934
O 0.5704 0.5816 0.3452
O 0.5816 0.3108 0.4766
O 0.6765 0.1851 0.8654
O 0.7193 0.7368 0.8071
O 0.8028 0.5419 0.1440
O 0.8278 0.2403 0.2299
O 0.8480 0.9064 0.3423
O 0.9585 0.6875 0.5125
O 0.9878 0.3357 0.6334
```

=====

No. 3
Density functional theory data (PBEsol) for crystalline LiVP2O7 at its relaxed geometry. Values from VASP.

Calculated values
Uncorrected formation energy, eV per atom: -2.24
Total magnetic moment, μB/f.u.: 2.00
N(E_F), states/eV/cell: 14.7

Geometry as Quantum ESPRESSO input:
```
&SYSTEM
  ibrav = 0, nat = 22, ntyp = 4
/
ATOMIC_SPECIES
Li 6.94 Li.upf
V 50.94 V.upf
P 30.97 P.upf
O 16.00 O.upf
CELL_PARAMETERS angstrom
3.2055 -4.1091 0.0000
3.2055 4.1091 0.0000
-1.9564 0.0000 8.7593
ATOMIC_POSITIONS crystal
Li 0.1979 0.8021 0.5000
Li 0.8021 0.1979 0.0000
V 0.1949 0.8420 0.9908
V 0.8420 0.1949 0.4908
P 0.2949 0.3007 0.7896
P 0.3007 0.2949 0.2896
P 0.7304 0.7454 0.1939
P 0.7454 0.7304 0.6939
O 0.1176 0.4106 0.3844
O 0.1213 0.1397 0.6386
O 0.1397 0.1213 0.1386
O 0.1622 0.4799 0.8839
O 0.4106 0.1176 0.8844
O 0.4799 0.1622 0.3839
O 0.4854 0.5342 0.2341
O 0.5342 0.4854 0.7341
O 0.5818 0.9117 0.1044
O 0.6014 0.8944 0.5998
O 0.8892 0.8925 0.8512
O 0.8925 0.8892 0.3512
O 0.8944 0.6014 0.0998
O 0.9117 0.5818 0.6044
```

=====

No. 4
Density functional theory data (PBEsol) for crystalline LiVPO5 at its relaxed geometry. Values from VASP.

Calculated values
Uncorrected formation energy, eV per atom: -2.28
Total magnetic moment, μB/f.u.: 1.00
Excess energy over the best structure of this formula in the dataset, kJ/mol of formula units: 44
N(E_F), states/eV/cell: 14.2

Geometry as Quantum ESPRESSO input:
```
&SYSTEM
  ibrav = 0, nat = 32, ntyp = 4
/
ATOMIC_SPECIES
Li 6.94 Li.upf
V 50.94 V.upf
P 30.97 P.upf
O 16.00 O.upf
CELL_PARAMETERS angstrom
7.5942 0.0000 0.0000
0.0000 5.8401 0.0000
0.0000 0.0000 7.7211
ATOMIC_POSITIONS crystal
Li 0.1314 0.2500 0.1567
Li 0.3686 0.7500 0.6567
Li 0.6314 0.2500 0.3433
Li 0.8686 0.7500 0.8433
V 0.0000 0.0000 0.5000
V 0.0000 0.5000 0.5000
V 0.5000 0.0000 0.0000
V 0.5000 0.5000 0.0000
P 0.1456 0.7500 0.1704
P 0.3544 0.2500 0.6704
P 0.6456 0.7500 0.3296
P 0.8544 0.2500 0.8296
O 0.0123 0.7500 0.0308
O 0.1122 0.7500 0.5935
O 0.1401 0.5338 0.2884
O 0.1401 0.9662 0.2884
O 0.1598 0.2500 0.5880
O 0.3402 0.7500 0.0880
O 0.3599 0.0338 0.7884
O 0.3599 0.4662 0.7884
O 0.3878 0.2500 0.0935
O 0.4877 0.2500 0.5308
O 0.5123 0.7500 0.4692
O 0.6122 0.7500 0.9065
O 0.6401 0.5338 0.2116
O 0.6401 0.9662 0.2116
O 0.6598 0.2500 0.9120
O 0.8402 0.7500 0.4120
O 0.8599 0.0338 0.7116
O 0.8599 0.4662 0.7116
O 0.8878 0.2500 0.4065
O 0.9877 0.2500 0.9692
```

=====

No. 5
Density functional theory data (PBEsol) for crystalline LiVPO4 at its relaxed geometry. Values from VASP.

Calculated values
Uncorrected formation energy, eV per atom: -2.09
Total magnetic moment, μB/f.u.: 3.00
Excess energy over the best structure of this formula in the dataset, kJ/mol of formula units: 43

Geometry as Quantum ESPRESSO input:
```
&SYSTEM
  ibrav = 0, nat = 28, ntyp = 4
/
ATOMIC_SPECIES
Li 6.94 Li.upf
V 50.94 V.upf
P 30.97 P.upf
O 16.00 O.upf
CELL_PARAMETERS angstrom
5.5263 0.0000 0.0000
1.7618 6.1505 0.0000
1.7189 2.3669 8.7267
ATOMIC_POSITIONS crystal
Li 0.1691 0.1329 0.1398
Li 0.3034 0.9663 0.7659
Li 0.6966 0.0337 0.2341
Li 0.8309 0.8671 0.8602
V 0.2205 0.3295 0.4240
V 0.2991 0.4438 0.7922
V 0.7009 0.5562 0.2078
V 0.7795 0.6705 0.5760
P 0.1523 0.6822 0.0897
P 0.3212 0.8000 0.4563
P 0.6788 0.2000 0.5437
P 0.8477 0.3178 0.9103
O 0.1189 0.4457 0.1965
O 0.1253 0.1690 0.9048
O 0.1491 0.6476 0.4559
O 0.2017 0.0428 0.3750
O 0.2348 0.6752 0.9209
O 0.3391 0.7716 0.1450
O 0.3731 0.7584 0.6266
O 0.4015 0.2576 0.6258
O 0.5985 0.7424 0.3742
O 0.6269 0.2416 0.3734
O 0.6609 0.2284 0.8550
O 0.7652 0.3248 0.0791
O 0.7983 0.9572 0.6250
O 0.8509 0.3524 0.5441
O 0.8747 0.8310 0.0952
O 0.8811 0.5543 0.8035
```

=====

No. 6
Density functional theory data (PBEsol) for crystalline LiVPO4 at its relaxed geometry. Values from VASP.

Calculated values
Uncorrected formation energy, eV per atom: -2.06
Total magnetic moment, μB/f.u.: 3.00
Excess energy over the best structure of this formula in the dataset, kJ/mol of formula units: 59
N(E_F), states/eV/cell: 7.4

Geometry as Quantum ESPRESSO input:
```
&SYSTEM
  ibrav = 0, nat = 28, ntyp = 4
/
ATOMIC_SPECIES
Li 6.94 Li.upf
V 50.94 V.upf
P 30.97 P.upf
O 16.00 O.upf
CELL_PARAMETERS angstrom
4.9112 0.0000 0.0000
0.0000 9.5407 0.0000
-4.7100 0.0000 7.0473
ATOMIC_POSITIONS crystal
Li 0.1993 0.1779 0.4862
Li 0.1993 0.3221 0.9862
Li 0.8007 0.6779 0.0138
Li 0.8007 0.8221 0.5138
V 0.2597 0.6005 0.5160
V 0.2597 0.8995 0.0160
V 0.7403 0.1005 0.9840
V 0.7403 0.3995 0.4840
P 0.4796 0.1029 0.2706
P 0.4796 0.3971 0.7706
P 0.5204 0.6029 0.2294
P 0.5204 0.8971 0.7294
O 0.1593 0.1402 0.2545
O 0.1593 0.3598 0.7545
O 0.2390 0.6944 0.0788
O 0.2390 0.8056 0.5788
O 0.4053 0.1241 0.0627
O 0.4053 0.3759 0.5627
O 0.4421 0.0553 0.6962
O 0.4421 0.4447 0.1962
O 0.5579 0.5553 0.8038
O 0.5579 0.9447 0.3038
O 0.5947 0.6241 0.4373
O 0.5947 0.8759 0.9373
O 0.7610 0.1944 0.4212
O 0.7610 0.3056 0.9212
O 0.8407 0.6402 0.2455
O 0.8407 0.8598 0.7455
```

=====

No. 7
Density functional theory data (PBEsol) for crystalline Li2V2P3O12 at its relaxed geometry. Values from VASP.

Calculated values
Uncorrected formation energy, eV per atom: -2.31
Total magnetic moment, μB/f.u.: 3.00
Excess energy over the best structure of this formula in the dataset, kJ/mol of formula units: 31
N(E_F), states/eV/cell: 17.8

Geometry as Quantum ESPRESSO input:
```
&SYSTEM
  ibrav = 0, nat = 38, ntyp = 4
/
ATOMIC_SPECIES
Li 6.94 Li.upf
V 50.94 V.upf
P 30.97 P.upf
O 16.00 O.upf
CELL_PARAMETERS angstrom
7.3360 -4.3204 0.0000
7.3360 4.3204 0.0000
-4.9659 0.0000 6.9421
ATOMIC_POSITIONS crystal
Li 0.1699 0.2973 0.4335
Li 0.2973 0.1699 0.9335
Li 0.7027 0.8301 0.0665
Li 0.8301 0.7027 0.5665
V 0.1371 0.6321 0.9206
V 0.3679 0.8629 0.5794
V 0.6321 0.1371 0.4206
V 0.8629 0.3679 0.0794
P 0.0298 0.9702 0.7500
P 0.2548 0.4581 0.2462
P 0.4581 0.2548 0.7462
P 0.5419 0.7452 0.2538
P 0.7452 0.5419 0.7538
P 0.9702 0.0298 0.2500
O 0.0136 0.1538 0.9261
O 0.0560 0.7900 0.7736
O 0.0950 0.4426 0.2710
O 0.1538 0.0136 0.4261
O 0.1923 0.4619 0.0430
O 0.2100 0.9440 0.7264
O 0.2672 0.4201 0.7419
O 0.3096 0.6327 0.4076
O 0.3673 0.6904 0.0924
O 0.4201 0.2672 0.2419
O 0.4426 0.0950 0.7710
O 0.4619 0.1923 0.5430
O 0.5381 0.8077 0.4570
O 0.5574 0.9050 0.2290
O 0.5799 0.7328 0.7581
O 0.6327 0.3096 0.9076
O 0.6904 0.3673 0.5924
O 0.7328 0.5799 0.2581
O 0.7900 0.0560 0.2736
O 0.8077 0.5381 0.9570
O 0.8462 0.9864 0.5739
O 0.9050 0.5574 0.7290
O 0.9440 0.2100 0.2264
O 0.9864 0.8462 0.0739
```

=====

No. 8
Density functional theory data (PBEsol) for crystalline LiVPO5 at its relaxed geometry. Values from VASP.

Calculated values
Uncorrected formation energy, eV per atom: -2.27
Total magnetic moment, μB/f.u.: 1.00
Excess energy over the best structure of this formula in the dataset, kJ/mol of formula units: 47

Geometry as Quantum ESPRESSO input:
```
&SYSTEM
  ibrav = 0, nat = 16, ntyp = 4
/
ATOMIC_SPECIES
Li 6.94 Li.upf
V 50.94 V.upf
P 30.97 P.upf
O 16.00 O.upf
CELL_PARAMETERS angstrom
6.0588 0.0000 0.0000
0.0000 5.2368 0.0000
-6.0299 0.0000 6.1570
ATOMIC_POSITIONS crystal
Li 0.0000 0.0552 0.0000
Li 0.0000 0.9448 0.5000
V 0.6150 0.2430 0.1371
V 0.6150 0.7570 0.6371
P 0.1158 0.4851 0.6404
P 0.1158 0.5149 0.1404
O 0.2578 0.3139 0.8342
O 0.2578 0.6861 0.3342
O 0.3461 0.3269 0.1786
O 0.3461 0.6731 0.6786
O 0.6408 0.0635 0.6615
O 0.6408 0.9365 0.1615
O 0.8631 0.3343 0.0802
O 0.8631 0.6657 0.5802
O 0.9740 0.3064 0.4473
O 0.9740 0.6936 0.9473
```

=====

Q: Which value of total magnetic moment does entry 3 give?
A: 2.00 μB/f.u.